1.
A relaxed structure of Ac3LaNd3Te8, computed with PBE.

**DFT total energy**: -5.28 eV/atom
**Formation energy from raw total energies**: -1503 meV per atom
**Space group**: No. 166

a = 9.268 Å, b = 9.268 Å, c = 9.268 Å
α = 59.07°, β = 59.07°, γ = 59.07°
Fractional positions:
Ac  0.000  0.500  0.500
Ac  0.500  0.000  0.500
Ac  0.500  0.500  0.000
La  0.500  0.500  0.500
Nd  0.000  0.000  0.500
Nd  0.000  0.500  0.000
Nd  0.500  0.000  0.000
Te  0.237  0.753  0.753
Te  0.245  0.245  0.245
Te  0.247  0.247  0.763
Te  0.247  0.763  0.247
Te  0.753  0.237  0.753
Te  0.753  0.753  0.237
Te  0.755  0.755  0.755
Te  0.763  0.247  0.247

=====

2.
A relaxed structure of AcLa3Nd4Te8, computed with PBE.

**DFT total energy**: -5.44 eV/atom
**Formation energy from raw total energies**: -1494 meV per atom
**Space group**: No. 166

a = 9.097 Å, b = 9.097 Å, c = 9.097 Å
α = 60.38°, β = 60.38°, γ = 60.38°
Fractional positions:
Ac  0.000  0.000  0.000
La  0.000  0.500  0.500
La  0.500  0.000  0.500
La  0.500  0.500  0.000
Nd  0.000  0.000  0.500
Nd  0.000  0.500  0.000
Nd  0.500  0.000  0.000
Nd  0.500  0.500  0.500
Te  0.248  0.248  0.248
Te  0.252  0.745  0.745
Te  0.255  0.255  0.748
Te  0.255  0.748  0.255
Te  0.745  0.252  0.745
Te  0.745  0.745  0.252
Te  0.748  0.255  0.255
Te  0.752  0.752  0.752

=====

3.
A relaxed structure of Ac3LaNd2Te6, computed with PBE.

**DFT total energy**: -5.29 eV/atom
**Formation energy from raw total energies**: -1484 meV per atom
**Space group**: No. 12

a = 10.363 Å, b = 10.363 Å, c = 9.314 Å
α = 103.43°, β = 103.43°, γ = 25.69°
Fractional positions:
Ac  0.000  0.000  0.000
Ac  0.334  0.334  0.669
Ac  0.666  0.666  0.331
La  0.000  0.000  0.500
Nd  0.333  0.333  0.167
Nd  0.667  0.667  0.833
Te  0.165  0.165  0.591
Te  0.170  0.170  0.074
Te  0.496  0.496  0.255
Te  0.504  0.504  0.745
Te  0.830  0.830  0.926
Te  0.835  0.835  0.409

=====

4.
A relaxed structure of Ac2La3NdTe6, computed with PBE.

**DFT total energy**: -5.42 eV/atom
**Formation energy from raw total energies**: -1531 meV per atom
**Space group**: No. 12

a = 8.007 Å, b = 8.007 Å, c = 8.015 Å
α = 99.61°, β = 99.61°, γ = 120.25°
Fractional positions:
Ac  0.165  0.835  0.000
Ac  0.835  0.165  0.000
La  0.000  0.000  0.500
La  0.329  0.671  0.500
La  0.671  0.329  0.500
Nd  0.500  0.500  0.000
Te  0.091  0.416  0.747
Te  0.262  0.262  0.258
Te  0.416  0.091  0.747
Te  0.584  0.909  0.253
Te  0.738  0.738  0.742
Te  0.909  0.584  0.253

=====

5.
A relaxed structure of AcLaNdTh, computed with PBE.

**DFT total energy**: -5.09 eV/atom
**Distance to the lowest polymorph of the same formula**: 0.70 eV per formula unit
**Space group**: No. 216

a = 8.404 Å, b = 8.404 Å, c = 8.404 Å
α = 90.00°, β = 90.00°, γ = 90.00°
Fractional positions:
Ac  0.000  0.000  0.000
Ac  0.000  0.500  0.500
Ac  0.500  0.000  0.500
Ac  0.500  0.500  0.000
La  0.250  0.250  0.250
La  0.250  0.750  0.750
La  0.750  0.250  0.750
La  0.750  0.750  0.250
Nd  0.250  0.250  0.750
Nd  0.250  0.750  0.250
Nd  0.750  0.250  0.250
Nd  0.750  0.750  0.750
Th  0.000  0.000  0.500
Th  0.000  0.500  0.000
Th  0.500  0.000  0.000
Th  0.500  0.500  0.500

=====

6.
A relaxed structure of AcLaNdTh, computed with PBE.

**DFT total energy**: -5.27 eV/atom
**Distance to the lowest polymorph of the same formula**: 0.00 eV per formula unit
**Space group**: No. 99

a = 3.705 Å, b = 3.705 Å, c = 10.791 Å
α = 90.00°, β = 90.00°, γ = 90.00°
Fractional positions:
Ac  0.000  0.000  0.000
La  0.500  0.500  0.721
Nd  0.500  0.500  0.270
Th  0.000  0.000  0.496

=====

7.
A relaxed structure of AcLaNdTl, computed with PBE.

**DFT total energy**: -4.10 eV/atom
**Distance to the lowest polymorph of the same formula**: 0.00 eV per formula unit
**Space group**: No. 119

a = 6.143 Å, b = 6.143 Å, c = 7.338 Å
α = 90.00°, β = 90.00°, γ = 90.00°
Fractional positions:
Ac  0.000  0.000  0.000
Ac  0.500  0.500  0.500
La  0.000  0.500  0.250
La  0.500  0.000  0.750
Nd  0.000  0.500  0.750
Nd  0.500  0.000  0.250
Tl  0.000  0.000  0.500
Tl  0.500  0.500  0.000

=====

8.
A relaxed structure of AcLaNdTl, computed with PBE.

**DFT total energy**: -4.08 eV/atom
**Distance to the lowest polymorph of the same formula**: 0.07 eV per formula unit
**Space group**: No. 216

a = 8.175 Å, b = 8.175 Å, c = 8.175 Å
α = 90.00°, β = 90.00°, γ = 90.00°
Fractional positions:
Ac  0.000  0.000  0.000
Ac  0.000  0.500  0.500
Ac  0.500  0.000  0.500
Ac  0.500  0.500  0.000
La  0.250  0.250  0.250
La  0.250  0.750  0.750
La  0.750  0.250  0.750
La  0.750  0.750  0.250
Nd  0.250  0.250  0.750
Nd  0.250  0.750  0.250
Nd  0.750  0.250  0.250
Nd  0.750  0.750  0.750
Tl  0.000  0.000  0.500
Tl  0.000  0.500  0.000
Tl  0.500  0.000  0.000
Tl  0.500  0.500  0.500

=====

9.
A relaxed structure of Ac3La2Nd2Tl4, computed with PBE.

**DFT total energy**: -3.97 eV/atom
**Space group**: No. 164

a = 5.755 Å, b = 5.755 Å, c = 13.423 Å
α = 90.00°, β = 90.00°, γ = 120.00°
Fractional positions:
Ac  0.000  0.000  0.000
Ac  0.000  0.000  0.304
Ac  0.000  0.000  0.696
La  0.333  0.667  0.615
La  0.667  0.333  0.385
Nd  0.333  0.667  0.133
Nd  0.667  0.333  0.867
Tl  0.333  0.667  0.373
Tl  0.333  0.667  0.870
Tl  0.667  0.333  0.130
Tl  0.667  0.333  0.627

=====

10.
A relaxed structure of AcLa2Nd2Tm2, computed with PBE.

**DFT total energy**: -4.60 eV/atom
**Space group**: No. 12

a = 11.726 Å, b = 5.258 Å, c = 8.155 Å
α = 90.00°, β = 98.13°, γ = 90.00°
Fractional positions:
Ac  0.000  0.000  0.000
Ac  0.500  0.500  0.000
La  0.215  0.500  0.153
La  0.285  0.000  0.847
La  0.715  0.000  0.153
La  0.785  0.500  0.847
Nd  0.075  0.500  0.705
Nd  0.425  0.000  0.295
Nd  0.575  0.000  0.705
Nd  0.925  0.500  0.295
Tm  0.142  0.000  0.433
Tm  0.358  0.500  0.567
Tm  0.642  0.500  0.433
Tm  0.858  0.000  0.567

=====

11.
A relaxed structure of AcLa2Nd5Tm, computed with PBE.

**DFT total energy**: -4.56 eV/atom
**Space group**: No. 63

a = 11.616 Å, b = 11.616 Å, c = 10.582 Å
α = 90.00°, β = 90.00°, γ = 152.24°
Fractional positions:
Ac  0.101  0.899  0.750
Ac  0.899  0.101  0.250
La  0.382  0.618  0.511
La  0.382  0.618  0.989
La  0.618  0.382  0.011
La  0.618  0.382  0.489
Nd  0.000  0.000  0.000
Nd  0.000  0.000  0.500
Nd  0.121  0.879  0.250
Nd  0.223  0.777  0.556
Nd  0.223  0.777  0.944
Nd  0.497  0.503  0.750
Nd  0.503  0.497  0.250
Nd  0.777  0.223  0.056
Nd  0.777  0.223  0.444
Nd  0.879  0.121  0.750
Tm  0.281  0.719  0.250
Tm  0.719  0.281  0.750

=====

12.
A relaxed structure of AcLa2Nd4Tm, computed with PBE.

**DFT total energy**: -4.58 eV/atom
**Space group**: No. 47

a = 6.123 Å, b = 6.149 Å, c = 7.667 Å
α = 90.00°, β = 90.00°, γ = 90.00°
Fractional positions:
Ac  0.000  0.000  0.000
La  0.000  0.000  0.500
La  0.500  0.500  0.000
Nd  0.000  0.500  0.266
Nd  0.000  0.500  0.734
Nd  0.500  0.000  0.267
Nd  0.500  0.000  0.733
Tm  0.500  0.500  0.500